Computed, not measured: a relaxed structure of NaUPaO6 at the GGA-PBE level of DFT.

Calculated values
Calculated volume ... 16.80 A^3/atom
Total magnetization ... 0.0 μB per formula unit
N(E_F) ... 0.00 states/eV/cell
Energy ... -8.81 eV per atom

Cell and atoms, written as CIF:
```
data_NaUPaO6
_chemical_formula_sum 'Na2 U2 Pa2 O12'
_cell_length_a 5.9586
_cell_length_b 5.9586
_cell_length_c 9.8354
_cell_angle_alpha 90.00
_cell_angle_beta 90.00
_cell_angle_gamma 120.00
_space_group_name_H-M_alt 'P -3 1 c'
_space_group_IT_number 163
_space_group_name_Hall '-P 3 2c'
loop_
_atom_site_label
_atom_site_type_symbol
_atom_site_fract_x
_atom_site_fract_y
_atom_site_fract_z
_atom_site_occupancy
Na1 Na 0.0000 0.0000 0.0000 1
U1 U 0.3333 0.6667 0.2500 1
Pa1 Pa 0.3333 0.6667 0.7500 1
O1 O 0.0113 0.3795 0.1447 1
```